DFT (PBE) results for a geometry-optimized Nb2HgTePb structure.

Results
- E_form (uncorrected): 739 kJ/mol of formula units
- Fermi-level density of states: 7.4 states/eV/cell
- Volume: 30.7 A^3/atom
- Spin magnetization: 3.888 μB per formula unit
- Crystal system: tetragonal

```
Nb2HgTePb
1.0
5.2751 0.0000 0.0000
0.0000 5.5199 0.0000
0.0000 0.0000 5.2751
Nb Hg Te Pb
2 1 1 1
Cartesian
2.6376 0.0000 0.0000
0.0000 0.0000 2.6376
0.0000 0.0000 0.0000
0.0000 2.7599 0.0000
2.6376 2.7599 2.6376
```